[1]
An optimized crystal structure of CuPdRhSe4, computed with PBE.

Values from the calculation:
Energy relative to the elements, uncorrected ... -0.330 eV/atom
Space-group type ... No. 74

Cell lengths 7.414, 7.411, 7.411 Å; angles 60.40, 59.99, 59.99 degrees
Positions (direct):
Se (0.223, 0.761, 0.261)
Se (0.243, 0.781, 0.733)
Se (0.756, 0.761, 0.261)
Se (0.757, 0.767, 0.719)
Se (0.777, 0.239, 0.739)
Se (0.244, 0.239, 0.739)
Se (0.757, 0.219, 0.267)
Se (0.243, 0.233, 0.281)
Pd (0.000, 0.000, 0.000)
Pd (0.000, 0.500, 0.500)
Rh (0.500, 0.000, 0.500)
Rh (0.000, 0.000, 0.500)
Cu (0.373, 0.377, 0.877)
Cu (0.627, 0.623, 0.123)



[2]
An optimized crystal structure of CuPdRhSe, computed with PBE.

Values from the calculation:
Energy relative to the elements, uncorrected ... 0.055 eV/atom
Space-group type ... No. 216

Cell lengths 4.374, 4.374, 4.374 Å; angles 60.00, 60.00, 60.00 degrees
Positions (direct):
Cu (0.750, 0.750, 0.750)
Rh (0.000, 0.000, 0.000)
Pd (0.500, 0.500, 0.500)
Se (0.250, 0.250, 0.250)



[3]
An optimized crystal structure of TbCuPdRh, computed with PBE.

Values from the calculation:
Relative energy among the computed polymorphs ... 0.359 eV per formula unit
Space-group type ... No. 216
Formation enthalpy at 0 K ... -0.500 eV/atom

Cell lengths 4.587, 4.587, 4.587 Å; angles 60.00, 60.00, 60.00 degrees
Positions (direct):
Tb (0.750, 0.750, 0.750)
Cu (0.250, 0.250, 0.250)
Rh (0.000, 0.000, 0.000)
Pd (0.500, 0.500, 0.500)



Values for Fermi-level density of states, states/eV/f.u., ordered as above
3.86, 4.50, 0.75